Below is a relaxed RbHg3Bi crystal, with properties calculated at the GGA-PBE level.

Geometry as CIF:
```
data_RbHg3Bi
_symmetry_space_group_name_H-M 'P 1'
_symmetry_Int_Tables_number 1
_symmetry_space_group_name_Hall 'P 1'
_cell_length_a 6.014
_cell_length_b 6.014
_cell_length_c 6.014
_cell_angle_alpha 90.00
_cell_angle_beta 90.00
_cell_angle_gamma 90.00
loop_
_atom_site_label
_atom_site_type_symbol
_atom_site_fract_x
_atom_site_fract_y
_atom_site_fract_z
_atom_site_occupancy
Rb1 Rb 0.000 0.000 0.000 1
Hg1 Hg 0.000 0.500 0.500 1
Hg2 Hg 0.500 0.000 0.500 1
Hg3 Hg 0.500 0.500 0.000 1
Bi1 Bi 0.500 0.500 0.500 1
```

Output
- relative energy among the computed polymorphs (meV/atom) = 159
- energy of formation (meV/atom) = -26

Below is a relaxed LaCrTc2 crystal, with properties calculated at the GGA-PBE level.

Geometry as CIF:
```
data_LaCrTc2
_symmetry_space_group_name_H-M 'P 1'
_symmetry_Int_Tables_number 1
_symmetry_space_group_name_Hall 'P 1'
_cell_length_a 2.987
_cell_length_b 2.987
_cell_length_c 27.231
_cell_angle_alpha 90.00
_cell_angle_beta 90.00
_cell_angle_gamma 120.00
loop_
_atom_site_label
_atom_site_type_symbol
_atom_site_fract_x
_atom_site_fract_y
_atom_site_fract_z
_atom_site_occupancy
La1 La 0.000 0.000 0.000 1
La2 La 0.333 0.667 0.667 1
La3 La 0.667 0.333 0.333 1
Cr1 Cr 0.000 0.000 0.500 1
Cr2 Cr 0.333 0.667 0.167 1
Cr3 Cr 0.667 0.333 0.833 1
Tc1 Tc 0.000 0.000 0.232 1
Tc2 Tc 0.000 0.000 0.768 1
Tc3 Tc 0.333 0.667 0.434 1
Tc4 Tc 0.333 0.667 0.899 1
Tc5 Tc 0.667 0.333 0.101 1
Tc6 Tc 0.667 0.333 0.566 1
```

Output
- relative energy among the computed polymorphs (meV/atom) = 273
- energy of formation (meV/atom) = 571

Below is a relaxed HoGaBr2 crystal, with properties calculated at the GGA-PBE level.

Geometry as CIF:
```
data_HoGaBr2
_symmetry_space_group_name_H-M 'P 1'
_symmetry_Int_Tables_number 1
_symmetry_space_group_name_Hall 'P 1'
_cell_length_a 4.663
_cell_length_b 4.663
_cell_length_c 17.992
_cell_angle_alpha 90.00
_cell_angle_beta 90.00
_cell_angle_gamma 120.00
loop_
_atom_site_label
_atom_site_type_symbol
_atom_site_fract_x
_atom_site_fract_y
_atom_site_fract_z
_atom_site_occupancy
Ho1 Ho 0.000 0.000 0.000 1
Ho2 Ho 0.333 0.667 0.667 1
Ho3 Ho 0.667 0.333 0.333 1
Ga1 Ga 0.000 0.000 0.500 1
Ga2 Ga 0.333 0.667 0.167 1
Ga3 Ga 0.667 0.333 0.833 1
Br1 Br 0.000 0.000 0.260 1
Br2 Br 0.000 0.000 0.740 1
Br3 Br 0.333 0.667 0.406 1
Br4 Br 0.333 0.667 0.927 1
Br5 Br 0.667 0.333 0.073 1
Br6 Br 0.667 0.333 0.594 1
```

Output
- uncorrected formation energy (eV per atom) = -0.593

Below is a relaxed ErRuRhPb crystal, with properties calculated at the GGA-PBE level.

Geometry as CIF:
```
data_ErRuRhPb
_symmetry_space_group_name_H-M 'P 1'
_symmetry_Int_Tables_number 1
_symmetry_space_group_name_Hall 'P 1'
_cell_length_a 6.671
_cell_length_b 6.671
_cell_length_c 6.671
_cell_angle_alpha 90.00
_cell_angle_beta 90.00
_cell_angle_gamma 90.00
loop_
_atom_site_label
_atom_site_type_symbol
_atom_site_fract_x
_atom_site_fract_y
_atom_site_fract_z
_atom_site_occupancy
Er1 Er 0.000 0.000 0.000 1
Er2 Er 0.000 0.500 0.500 1
Er3 Er 0.500 0.000 0.500 1
Er4 Er 0.500 0.500 0.000 1
Ru1 Ru 0.250 0.250 0.250 1
Ru2 Ru 0.250 0.750 0.750 1
Ru3 Ru 0.750 0.250 0.750 1
Ru4 Ru 0.750 0.750 0.250 1
Rh1 Rh 0.250 0.250 0.750 1
Rh2 Rh 0.250 0.750 0.250 1
Rh3 Rh 0.750 0.250 0.250 1
Rh4 Rh 0.750 0.750 0.750 1
Pb1 Pb 0.000 0.000 0.500 1
Pb2 Pb 0.000 0.500 0.000 1
Pb3 Pb 0.500 0.000 0.000 1
Pb4 Pb 0.500 0.500 0.500 1
```

Output
- energy of formation (meV/atom) = -393

Below is a relaxed CdNiSb2Os crystal, with properties calculated at the GGA-PBE level.

Geometry as CIF:
```
data_CdNiSb2Os
_symmetry_space_group_name_H-M 'P 1'
_symmetry_Int_Tables_number 1
_symmetry_space_group_name_Hall 'P 1'
_cell_length_a 5.028
_cell_length_b 5.028
_cell_length_c 5.212
_cell_angle_alpha 90.00
_cell_angle_beta 90.00
_cell_angle_gamma 90.00
loop_
_atom_site_label
_atom_site_type_symbol
_atom_site_fract_x
_atom_site_fract_y
_atom_site_fract_z
_atom_site_occupancy
Cd1 Cd 0.000 0.000 0.000 1
Ni1 Ni 0.500 0.500 0.000 1
Sb1 Sb 0.000 0.500 0.500 1
Sb2 Sb 0.500 0.000 0.500 1
Os1 Os 0.000 0.000 0.500 1
```

Output
- uncorrected formation energy (eV per atom) = 0.901

Below is a relaxed BiO2 crystal, with properties calculated at the GGA-PBE level.

Geometry as CIF:
```
data_BiO2
_symmetry_space_group_name_H-M 'P 1'
_symmetry_Int_Tables_number 1
_symmetry_space_group_name_Hall 'P 1'
_cell_length_a 8.500
_cell_length_b 8.500
_cell_length_c 8.500
_cell_angle_alpha 92.53
_cell_angle_beta 92.53
_cell_angle_gamma 155.74
loop_
_atom_site_label
_atom_site_type_symbol
_atom_site_fract_x
_atom_site_fract_y
_atom_site_fract_z
_atom_site_occupancy
Bi1 Bi 0.156 0.342 0.498 1
Bi2 Bi 0.342 0.844 0.187 1
Bi3 Bi 0.658 0.156 0.813 1
Bi4 Bi 0.844 0.658 0.502 1
O1 O 0.034 0.666 0.700 1
O2 O 0.276 0.662 0.938 1
O3 O 0.334 0.034 0.369 1
O4 O 0.338 0.276 0.614 1
O5 O 0.662 0.724 0.386 1
O6 O 0.666 0.966 0.631 1
O7 O 0.724 0.338 0.062 1
O8 O 0.966 0.334 0.300 1
```

Output
- uncorrected formation energy (eV per atom) = -0.906
- relative energy among the computed polymorphs (meV/atom) = 90

Below is a relaxed CdPd4Pt2 crystal, with properties calculated at the GGA-PBE level.

Geometry as CIF:
```
data_CdPd4Pt2
_symmetry_space_group_name_H-M 'P 1'
_symmetry_Int_Tables_number 1
_symmetry_space_group_name_Hall 'P 1'
_cell_length_a 4.885
_cell_length_b 4.885
_cell_length_c 12.911
_cell_angle_alpha 90.00
_cell_angle_beta 90.00
_cell_angle_gamma 90.00
loop_
_atom_site_label
_atom_site_type_symbol
_atom_site_fract_x
_atom_site_fract_y
_atom_site_fract_z
_atom_site_occupancy
Cd1 Cd 0.000 0.000 0.000 1
Cd2 Cd 0.500 0.500 0.500 1
Pd1 Pd 0.000 0.000 0.205 1
Pd2 Pd 0.000 0.000 0.795 1
Pd3 Pd 0.000 0.500 0.000 1
Pd4 Pd 0.000 0.500 0.500 1
Pd5 Pd 0.500 0.000 0.000 1
Pd6 Pd 0.500 0.000 0.500 1
Pd7 Pd 0.500 0.500 0.295 1
Pd8 Pd 0.500 0.500 0.705 1
Pt1 Pt 0.000 0.000 0.400 1
Pt2 Pt 0.000 0.000 0.600 1
Pt3 Pt 0.500 0.500 0.100 1
Pt4 Pt 0.500 0.500 0.900 1
```

Output
- relative energy among the computed polymorphs (meV/atom) = 980
- energy of formation (meV/atom) = 819

Below is a relaxed ScRh2 crystal, with properties calculated at the GGA-PBE level.

Geometry as CIF:
```
data_ScRh2
_symmetry_space_group_name_H-M 'P 1'
_symmetry_Int_Tables_number 1
_symmetry_space_group_name_Hall 'P 1'
_cell_length_a 2.946
_cell_length_b 4.168
_cell_length_c 17.095
_cell_angle_alpha 90.00
_cell_angle_beta 90.00
_cell_angle_gamma 90.00
loop_
_atom_site_label
_atom_site_type_symbol
_atom_site_fract_x
_atom_site_fract_y
_atom_site_fract_z
_atom_site_occupancy
Sc1 Sc 0.000 0.250 0.121 1
Sc2 Sc 0.000 0.750 0.879 1
Sc3 Sc 0.500 0.250 0.379 1
Sc4 Sc 0.500 0.750 0.621 1
Rh1 Rh 0.000 0.250 0.538 1
Rh2 Rh 0.000 0.250 0.689 1
Rh3 Rh 0.000 0.750 0.311 1
Rh4 Rh 0.000 0.750 0.462 1
Rh5 Rh 0.500 0.250 0.811 1
Rh6 Rh 0.500 0.250 0.962 1
Rh7 Rh 0.500 0.750 0.038 1
Rh8 Rh 0.500 0.750 0.189 1
```

Output
- energy of formation (meV/atom) = -415

Below is a relaxed Tl7Te5 crystal, with properties calculated at the GGA-PBE level.

Geometry as CIF:
```
data_Tl7Te5
_symmetry_space_group_name_H-M 'P 1'
_symmetry_Int_Tables_number 1
_symmetry_space_group_name_Hall 'P 1'
_cell_length_a 8.166
_cell_length_b 8.166
_cell_length_c 12.992
_cell_angle_alpha 108.83
_cell_angle_beta 108.83
_cell_angle_gamma 33.74
loop_
_atom_site_label
_atom_site_type_symbol
_atom_site_fract_x
_atom_site_fract_y
_atom_site_fract_z
_atom_site_occupancy
Tl1 Tl 0.000 0.000 0.000 1
Tl2 Tl 0.162 0.162 0.549 1
Tl3 Tl 0.237 0.237 0.849 1
Tl4 Tl 0.454 0.454 0.710 1
Tl5 Tl 0.546 0.546 0.290 1
Tl6 Tl 0.763 0.763 0.151 1
Tl7 Tl 0.838 0.838 0.451 1
Te1 Te 0.170 0.170 0.285 1
Te2 Te 0.382 0.382 0.086 1
Te3 Te 0.500 0.500 0.500 1
Te4 Te 0.618 0.618 0.914 1
Te5 Te 0.830 0.830 0.715 1
```

Output
- uncorrected formation energy (eV per atom) = -0.233

Below is a relaxed Rb3GaRu crystal, with properties calculated at the GGA-PBE level.

Geometry as CIF:
```
data_Rb3GaRu
_symmetry_space_group_name_H-M 'P 1'
_symmetry_Int_Tables_number 1
_symmetry_space_group_name_Hall 'P 1'
_cell_length_a 5.885
_cell_length_b 5.885
_cell_length_c 5.885
_cell_angle_alpha 90.00
_cell_angle_beta 90.00
_cell_angle_gamma 90.00
loop_
_atom_site_label
_atom_site_type_symbol
_atom_site_fract_x
_atom_site_fract_y
_atom_site_fract_z
_atom_site_occupancy
Rb1 Rb 0.000 0.000 0.500 1
Rb2 Rb 0.000 0.500 0.000 1
Rb3 Rb 0.500 0.000 0.000 1
Ga1 Ga 0.500 0.500 0.500 1
Ru1 Ru 0.000 0.000 0.000 1
```

Output
- relative energy among the computed polymorphs (meV/atom) = 0
- energy of formation (meV/atom) = 1150

Below is a relaxed BaLi2Mn crystal, with properties calculated at the GGA-PBE level.

Geometry as CIF:
```
data_BaLi2Mn
_symmetry_space_group_name_H-M 'P 1'
_symmetry_Int_Tables_number 1
_symmetry_space_group_name_Hall 'P 1'
_cell_length_a 4.751
_cell_length_b 4.751
_cell_length_c 21.249
_cell_angle_alpha 90.00
_cell_angle_beta 90.00
_cell_angle_gamma 90.00
loop_
_atom_site_label
_atom_site_type_symbol
_atom_site_fract_x
_atom_site_fract_y
_atom_site_fract_z
_atom_site_occupancy
Ba1 Ba 0.000 0.000 0.000 1
Ba2 Ba 0.000 0.500 0.250 1
Ba3 Ba 0.500 0.000 0.750 1
Ba4 Ba 0.500 0.500 0.500 1
Li1 Li 0.128 0.750 0.625 1
Li2 Li 0.250 0.128 0.375 1
Li3 Li 0.250 0.372 0.875 1
Li4 Li 0.372 0.750 0.125 1
Li5 Li 0.628 0.250 0.125 1
Li6 Li 0.750 0.628 0.875 1
Li7 Li 0.750 0.872 0.375 1
Li8 Li 0.872 0.250 0.625 1
Mn1 Mn 0.000 0.000 0.500 1
Mn2 Mn 0.000 0.500 0.750 1
Mn3 Mn 0.500 0.000 0.250 1
Mn4 Mn 0.500 0.500 0.000 1
```

Output
- relative energy among the computed polymorphs (meV/atom) = 140
- energy of formation (meV/atom) = 503

Number 1: V 43.5 Å³/atom. Number 2: V 17.5 Å³/atom. Number 3: V 28.2 Å³/atom. Number 4: V 18.6 Å³/atom. Number 5: V 26.4 Å³/atom. Number 6: V 20.6 Å³/atom. Number 7: V 22.0 Å³/atom. Number 8: V 17.5 Å³/atom. Number 9: V 37.7 Å³/atom. Number 10: V 40.8 Å³/atom. Number 11: V 30.0 Å³/atom.